(1)
Here is a relaxed structure of Li2BeIn from the Alexandria database. Energies are from PBE-GGA.

Cell: 2.825 4.412 5.173 Å, 90.00 90.00 90.00°
Fractional coordinates of all 4 atoms:
Li1 0.000 0.000 0.000
Li2 0.000 0.500 0.294
Be1 0.500 0.500 0.808
In1 0.500 0.000 0.523

Summary:
Its energy is -2.490 eV per atom. The formation enthalpy at 0 K comes out at 83 meV per atom. Its energy above the lowest structure with this stoichiometry is 0.151 eV per atom.

***

(2)
Here is a relaxed structure of LiBe2In from the Alexandria database. Energies are from PBE-GGA.

Cell: 3.739 3.739 17.551 Å, 90.00 90.00 90.00°
Fractional coordinates of all 16 atoms:
Li1 0.000 0.000 0.000
Li2 0.000 0.500 0.250
Li3 0.500 0.000 0.750
Li4 0.500 0.500 0.500
Be1 0.247 0.250 0.125
Be2 0.250 0.747 0.375
Be3 0.250 0.753 0.875
Be4 0.253 0.250 0.625
Be5 0.747 0.750 0.625
Be6 0.750 0.247 0.875
Be7 0.750 0.253 0.375
Be8 0.753 0.750 0.125
In1 0.000 0.000 0.500
In2 0.000 0.500 0.750
In3 0.500 0.000 0.250
In4 0.500 0.500 0.000

Summary:
Its energy is -2.440 eV per atom. The formation enthalpy at 0 K comes out at 586 meV per atom.

***

(3)
Here is a relaxed structure of Li2BeIn from the Alexandria database. Energies are from PBE-GGA.

Cell: 7.598 7.598 4.848 Å, 90.00 90.00 90.00°
Fractional coordinates of all 16 atoms:
Li1 0.199 0.250 0.125
Li2 0.250 0.699 0.375
Li3 0.250 0.801 0.875
Li4 0.301 0.250 0.625
Li5 0.699 0.750 0.625
Li6 0.750 0.199 0.875
Li7 0.750 0.301 0.375
Li8 0.801 0.750 0.125
Be1 0.000 0.000 0.000
Be2 0.000 0.500 0.250
Be3 0.500 0.000 0.750
Be4 0.500 0.500 0.500
In1 0.000 0.000 0.500
In2 0.000 0.500 0.750
In3 0.500 0.000 0.250
In4 0.500 0.500 0.000

Summary:
Its energy is -2.314 eV per atom. The formation enthalpy at 0 K comes out at 259 meV per atom. Its energy above the lowest structure with this stoichiometry is 0.327 eV per atom.

***

(4)
Here is a relaxed structure of LiBeIn3 from the Alexandria database. Energies are from PBE-GGA.

Cell: 4.975 4.975 4.975 Å, 90.00 90.00 90.00°
Fractional coordinates of all 5 atoms:
Li1 0.000 0.000 0.000
Be1 0.500 0.500 0.500
In1 0.000 0.000 0.500
In2 0.000 0.500 0.000
In3 0.500 0.000 0.000

Summary:
Its energy is -2.138 eV per atom. The formation enthalpy at 0 K comes out at 633 meV per atom. Its energy above the lowest structure with this stoichiometry is 0.410 eV per atom.

***

(5)
Here is a relaxed structure of LiBe2In from the Alexandria database. Energies are from PBE-GGA.

Cell: 6.923 3.975 4.655 Å, 90.00 118.38 90.00°
Fractional coordinates of all 8 atoms:
Li1 0.000 0.000 0.000
Li2 0.500 0.500 0.000
Be1 0.275 0.500 0.324
Be2 0.430 0.000 0.294
Be3 0.775 0.000 0.324
Be4 0.930 0.500 0.294
In1 0.209 0.000 0.636
In2 0.709 0.500 0.636

Summary:
Its energy is -2.834 eV per atom. The formation enthalpy at 0 K comes out at 193 meV per atom.

***

(6)
Here is a relaxed structure of Li2BeIn from the Alexandria database. Energies are from PBE-GGA.

Cell: 3.053 3.053 27.436 Å, 90.00 90.00 120.00°
Fractional coordinates of all 12 atoms:
Li1 0.000 0.000 0.000
Li2 0.000 0.000 0.240
Li3 0.333 0.667 0.667
Li4 0.333 0.667 0.906
Li5 0.667 0.333 0.333
Li6 0.667 0.333 0.573
Be1 0.000 0.000 0.741
Be2 0.333 0.667 0.407
Be3 0.667 0.333 0.074
In1 0.000 0.000 0.484
In2 0.333 0.667 0.151
In3 0.667 0.333 0.817

Summary:
Its energy is -2.315 eV per atom. The formation enthalpy at 0 K comes out at 258 meV per atom. Its energy above the lowest structure with this stoichiometry is 0.326 eV per atom.